No. 1
Compound: Tb2Er3Tm6
Source: the Alexandria database
Functional: PBE
Structure: optimized geometry

abc: 4.657 4.657 16.696
angles: 98.02 98.02 90.00
Element x y z (fractional)
Tb 0.454 0.454 0.907
Tb 0.546 0.546 0.093
Er 0.000 0.000 0.000
Er 0.799 0.799 0.598
Er 0.201 0.201 0.402
Tm 0.122 0.622 0.244
Tm 0.622 0.122 0.244
Tm 0.878 0.378 0.756
Tm 0.378 0.878 0.756
Tm 0.696 0.696 0.391
Tm 0.304 0.304 0.609

Computed properties:
* energy relative to the elements: 28 kJ/mol of atoms
* space-group type: I4/mmm (139)
* VASP energy: -46.597 eV per cell
* DOS at the Fermi energy: 1.57 states/eV/atom
* crystal system: tetragonal
* V: 32.27 A^3/atom

---

No. 2
Compound: Ba3CaU2O9
Source: the Alexandria database
Functional: PBE
Structure: optimized geometry

abc: 6.236 6.236 7.653
angles: 90.00 90.00 120.00
Site moments in Bohr magnetons follow the coordinates.
Element x y z (fractional)
Ba 0.333 0.667 0.649  0.01
Ba 0.000 0.000 0.000  0.01
Ba 0.667 0.333 0.351  0.01
Ca 0.000 0.000 0.500  -0.01
U 0.333 0.667 0.168  1.05
U 0.667 0.333 0.832  1.05
O 0.826 0.174 0.675  -0.02
O 0.826 0.651 0.675  -0.02
O 0.349 0.174 0.675  -0.02
O 0.651 0.826 0.325  -0.02
O 0.174 0.349 0.325  -0.02
O 0.174 0.826 0.325  -0.02
O 0.500 0.000 0.000  -0.03
O 0.000 0.500 0.000  -0.03
O 0.500 0.500 0.000  -0.03

Computed properties:
* space-group type: P-3m1 (164)
* VASP energy: -121.956 eV per cell
* raw formation energy: -3.132 eV/atom
* crystal system: trigonal
* V: 17.18 A^3/atom

---

No. 3
Compound: CoRh
Source: the Alexandria database
Functional: PBE
Structure: optimized geometry

abc: 7.155 7.155 7.155
angles: 90.00 90.00 90.00
Element x y z (fractional)
Co 0.160 0.160 0.160
Co 0.160 0.840 0.840
Co 0.840 0.160 0.840
Co 0.840 0.840 0.160
Co 0.660 0.660 0.660
Co 0.660 0.340 0.340
Co 0.340 0.660 0.340
Co 0.340 0.340 0.660
Rh 0.343 0.343 0.343
Rh 0.343 0.657 0.657
Rh 0.657 0.343 0.657
Rh 0.657 0.657 0.343
Rh 0.843 0.843 0.843
Rh 0.843 0.157 0.157
Rh 0.157 0.843 0.157
Rh 0.157 0.157 0.843

Computed properties:
* energy relative to the elements: 126 kJ/mol of atoms
* space-group type: I-43m (217)
* VASP energy: -94.749 eV per cell
* DOS at the Fermi energy: 1.59 states/eV/atom
* crystal system: cubic
* V: 22.89 A^3/atom

---

The lowest VASP energy belongs to which entry? Ba3CaU2O9

---

Among the records above, which one has the highest V? Tb2Er3Tm6